# V2P2H6PbO14 | the Alexandria database | meta-GGA SCAN | single point on PBEsol structure
data_V2P2H6PbO14
_symmetry_space_group_name_H-M 'C 1 c 1'
_symmetry_Int_Tables_number 9
_cell_length_a 8.744
_cell_length_b 8.837
_cell_length_c 13.846
_cell_angle_alpha 90.00
_cell_angle_beta 99.51
_cell_angle_gamma 90.00
loop_
_symmetry_equiv_pos_as_xyz
'x,y,z'
'x,-y,z+1/2'
'x+1/2,y+1/2,z'
'x+1/2,-y+1/2,z+1/2'
loop_
_atom_site_label
_atom_site_fract_x
_atom_site_fract_y
_atom_site_fract_z
V1 0.000 0.120 0.000
V2 0.019 0.369 0.603
P1 0.259 0.377 0.050
P2 0.264 0.128 0.549
H1 0.007 0.441 0.784
H2 0.069 0.059 0.822
H3 0.171 0.164 0.311
H4 0.198 0.342 0.313
H5 0.226 0.002 0.728
H6 0.477 0.289 0.305
Pb1 0.327 0.260 0.819
O1 0.033 0.115 0.116
O2 0.057 0.360 0.752
O3 0.116 0.265 0.304
O4 0.136 0.042 0.481
O5 0.160 0.264 0.980
O6 0.164 0.469 0.113
O7 0.195 0.235 0.621
O8 0.233 0.018 0.799
O9 0.332 0.480 0.978
O10 0.357 0.217 0.483
O11 0.366 0.018 0.619
O12 0.384 0.293 0.122
O13 0.471 0.388 0.340
O14 0.475 0.140 0.985
# Electronic total energy ... -0.4200 hartree per atom
# Size of the total moment ... 0.0 μB per formula unit